Compound: SiSnPd6
Source: the Alexandria database
Functional: PBE-GGA
Structure: relaxed

Lattice parameters (Å, degrees): 4.6585 4.6585 7.3730 70.76 70.76 73.02
Closest atoms and distances in Å follow each position.
Element x y z (fractional)
Si 0.0000 0.0000 0.0000  6 Pd 2.33-2.41
Sn 0.5000 0.5000 0.5000  8 Pd 2.72-2.74
Pd 0.0845 0.5814 0.2873  1 Si 2.41
Pd 0.5814 0.0845 0.2873  1 Si 2.41
Pd 0.4186 0.9155 0.7127  1 Si 2.41
Pd 0.9155 0.4186 0.7127  1 Si 2.41
Pd 0.3247 0.3247 0.9615  1 Si 2.33
Pd 0.6753 0.6753 0.0385  1 Si 2.33

Output
**Calculated volume**: 140 Å³/cell
**Formation energy without anion corrections**: -0.360 eV per atom
**Total energy**: -43.47 eV/cell